This record from the Alexandria database describes crystalline AlCuNi at its relaxed geometry. The functional is PBE.

Cell: 7.4418 7.4418 7.4418 Å, 158.93 148.49 38.22°
Closest atoms and distances in Å follow each position.
Fractional coordinates of all 6 atoms:
Al (0.1076, 0.1076, 0.0000)  4 Ni 2.46, 4 Cu 2.61-2.69, 2 Al 2.72
Al (0.8924, 0.8924, 0.0000)  4 Ni 2.46, 4 Cu 2.61-2.69, 2 Al 2.72
Cu (0.2664, 0.7664, 0.5000)  6 Cu 2.48-2.72, 2 Ni 2.53, 4 Al 2.61-2.69
Cu (0.7336, 0.2336, 0.5000)  6 Cu 2.48-2.72, 2 Ni 2.53, 4 Al 2.61-2.69
Ni (0.4181, 0.4181, 0.0000)  1 Ni 2.30, 4 Al 2.46, 2 Cu 2.53
Ni (0.5819, 0.5819, 0.0000)  1 Ni 2.30, 4 Al 2.46, 2 Cu 2.53

Calculated values
ΔH_f (0 K) = -0.18 eV/atom
ΔE to the lowest computed polymorph = 220 meV per atom
Uncorrected energy = -4.72 eV/atom
Size of the total moment = 0.0 μB per cell
Space-group type = Immm (71)